Compound: PmTiO3
Source: Alexandria
Functional: PBE-GGA
Structure: optimized geometry

Results
- Symmetry: Ama2, No. 40
- Magnetization: 0.000 μB/atom
- E_form (uncorrected): -15.5 eV per formula unit

Unit cell a=3.9025 b=7.5090 c=7.5090 alpha=137.08 beta=90.00 gamma=90.00
Last column: nearest neighbours and their distance in Å.
Element x y z (fractional)
Pm (0.2500, 0.1835, 0.8165)  6 O 2.34-2.49
Pm (0.7500, 0.8165, 0.1835)  6 O 2.34-2.49
Ti (0.2500, 0.3879, 0.5413)  5 O 1.88-2.01
Ti (0.7500, 0.5413, 0.3879)  5 O 1.88-2.01
O (0.2500, 0.0492, 0.4199)  1 Ti 1.98
O (0.2500, 0.4523, 0.3241)  3 Ti 2.00-2.01
O (0.2500, 0.5594, 0.8883)  1 Ti 1.88
O (0.7500, 0.3241, 0.4523)  3 Ti 2.00-2.01
O (0.7500, 0.4199, 0.0492)  1 Ti 1.98
O (0.7500, 0.8883, 0.5594)  1 Ti 1.88